DFT (PBE-GGA) results for a relaxed Sc2SnTe crystal.

a b c (Å): 5.1354 5.1354 5.1354
angles (deg): 60.00 60.00 60.00
Positions (direct):
Sc 0.7500 0.7500 0.7500
Sc 0.2500 0.2500 0.2500
Sn 0.0000 0.0000 0.0000
Te 0.5000 0.5000 0.5000

Computed properties:
Total magnetic moment = 0.00 μB/atom
Symmetry = Fm-3m (225)
Formation energy from raw total energies = -55.1 kJ/mol of atoms
DOS(E_F) = 5.0 states/eV/f.u.
Energy = -5.52 eV per atom
Calculated volume = 23.94 A^3/atom
Crystal system = cubic